{"formula": "CaCoF2", "functional": "GGA+U", "state": "optimized geometry", "volume_a3_per_cell": 74, "e_above_lowest_polymorph_mev_per_atom": 0, "magnetic_moment_mub_per_fu": 2.38, "lattice": [[-7.184, 1.094, -0.042], [-5.970, 3.527, 2.174], [-5.863, 4.096, -1.286]], "species": ["F", "F", "Co", "Ca"], "fractional_positions": [[0.881, 0.881, 0.881], [0.119, 0.119, 0.119], [0.000, 0.000, 0.000], [0.500, 0.500, 0.500]]}